The following is a PBE calculation of a geometry-optimized ZnSiIr2 structure, from the Alexandria database.

Cell and atoms, written as CIF:
```
data_ZnSiIr2
_chemical_formula_sum 'Zn2 Si2 Ir4'
_cell_length_a 2.739
_cell_length_b 4.436
_cell_length_c 10.376
_cell_angle_alpha 90.00
_cell_angle_beta 90.00
_cell_angle_gamma 90.00
_space_group_name_H-M_alt 'I m m m'
_space_group_IT_number 71
_space_group_name_Hall '-I 2 2'
loop_
_atom_site_label
_atom_site_fract_x
_atom_site_fract_y
_atom_site_fract_z
Zn1 0.000 0.000 0.000
Si1 0.000 0.000 0.500
Ir1 0.000 0.000 0.276
```

formation energy (no corrections)	0.2078	eV per atom
electronic total energy	-47.2	eV for the cell shown
magnetic moment	0.0	μB/cell